# GGA-PBE HfCo2GeH, relaxed
# polymorph energy (0 for the lowest one): 0.000 eV/atom
data_HfCo2GeH
_chemical_formula_sum 'Hf4 Co8 Ge4 H4'
_cell_length_a 3.585
_cell_length_b 9.809
_cell_length_c 6.721
_cell_angle_alpha 90.00
_cell_angle_beta 90.00
_cell_angle_gamma 90.00
_symmetry_space_group_name_H-M 'C m c m'
_symmetry_Int_Tables_number 63
_symmetry_space_group_name_Hall '-C 2c 2'
loop_
_atom_site_label
_atom_site_type_symbol
_atom_site_fract_x
_atom_site_fract_y
_atom_site_fract_z
Hf1 Hf 0.000 0.060 0.250
Co1 Co 0.000 0.347 0.053
Ge1 Ge 0.000 0.223 0.750
H1 H 0.000 0.500 0.000